Density functional theory data (GGA-PBEsol) for a relaxed structure of CuCl2F.

CIF file:
```
data_CuCl2F
_chemical_formula_sum 'Cu4 Cl8 F4'
_symmetry_space_group_name_H-M 'F m -3 m'
_symmetry_Int_Tables_number 225
_symmetry_space_group_name_Hall '-F 4 2 3'
_cell_length_a 6.0115
_cell_length_b 6.0115
_cell_length_c 6.0115
_cell_angle_alpha 90.00
_cell_angle_beta 90.00
_cell_angle_gamma 90.00
loop_
_atom_site_label
_atom_site_type_symbol
_atom_site_fract_x
_atom_site_fract_y
_atom_site_fract_z
_atom_site_occupancy
Cu1 Cu 0.0000 0.0000 0.0000 1
Cl1 Cl 0.2500 0.2500 0.2500 1
F1 F 0.0000 0.0000 0.5000 1
```

Distance to the lowest polymorph of the same formula in kcal/mol of atoms: 0.000
Calculated volume in Å³ per atom: 13.6
VASP energy in eV/cell: -40.997
Size of the total moment in μB per formula unit: 0.00

Density functional theory data (GGA-PBEsol) for a relaxed structure of RbMo2As2.

CIF file:
```
data_RbMo2As2
_chemical_formula_sum 'Rb2 Mo4 As4'
_symmetry_space_group_name_H-M 'I 4/m m m'
_symmetry_Int_Tables_number 139
_symmetry_space_group_name_Hall '-I 4 2'
_cell_length_a 3.7667
_cell_length_b 3.7667
_cell_length_c 15.8165
_cell_angle_alpha 90.00
_cell_angle_beta 90.00
_cell_angle_gamma 90.00
loop_
_atom_site_label
_atom_site_type_symbol
_atom_site_fract_x
_atom_site_fract_y
_atom_site_fract_z
_atom_site_occupancy
Rb1 Rb 0.0000 0.0000 0.0000 1
Mo1 Mo 0.0000 0.5000 0.2500 1
As1 As 0.0000 0.0000 0.3621 1
```

Calculated volume in Å³ per atom: 22.4
VASP energy in eV/cell: -72.275
Size of the total moment in μB per formula unit: 0.00
Energy relative to the elements in eV per formula unit: -1.4

Q: Which of these has the lowest calculated volume?
A: CuCl2F